[1]
VASP calculation (PBE) on a relaxed Tb3Er6Sc2 crystal.

Lattice parameters (Å, degrees): 4.675 4.675 31.814 90.00 90.00 90.00
Space group I4/mmm (No. 139)
Symmetry-distinct sites (fractional):
Tb (0.000, 0.000, 0.000) (multiplicity 2)
Tb (0.000, 0.000, 0.200) (multiplicity 4)
Er (0.000, 0.000, 0.307) (multiplicity 4)
Er (0.000, 0.500, 0.116) (multiplicity 8)
Sc (0.000, 0.000, 0.456) (multiplicity 4)

Results
E above lowest polymorph   217.7 kJ/mol of formula units
Total magnetic moment   0.000 μB/atom

[2]
VASP calculation (PBE) on a relaxed Tb6ErSc8 crystal.

Lattice parameters (Å, degrees): 9.1936 9.1936 17.2818 90.00 90.00 120.00
Space group R-3 (No. 148, hexagonal axes)
Symmetry-distinct sites (fractional):
Tb (0.0224, 0.2367, 0.4072) (multiplicity 18)
Er (0.0000, 0.0000, 0.0000) (multiplicity 3)
Sc (0.0000, 0.0000, 0.2311) (multiplicity 6)
Sc (0.0521, 0.2789, 0.9007) (multiplicity 18)

Results
Total magnetic moment   0.000 μB/atom
VASP energy   -5.34 eV per atom

[3]
VASP calculation (PBE) on a relaxed Tb4Er6Sc crystal.

Lattice parameters (Å, degrees): 6.452 6.452 16.929 90.00 90.00 90.00
Space group I-42m (No. 121)
Symmetry-distinct sites (fractional):
Tb (0.179, 0.179, 0.366) (multiplicity 8)
Er (0.000, 0.500, 0.000) (multiplicity 4)
Er (0.185, 0.185, 0.169) (multiplicity 8)
Sc (0.000, 0.000, 0.000) (multiplicity 2)

Results
E above lowest polymorph   164.8 kJ/mol of formula units
Total magnetic moment   0.000 μB/atom